1.
Material: Pu2AsSe
Method: DFT, GGA-PBE
State: relaxed

Symmetry: I4_1/amd, No. 141
M_tot, μB per cell: 21.80
E_tot, eV for the cell shown: -84.04

abc: 5.867 5.867 7.196
angles: 114.05 114.05 90.00
Element x y z (fractional)
1 Pu 0.623 0.873 0.747
2 As 0.625 0.375 0.750
3 Pu 0.873 0.623 0.247
4 Se 0.875 0.125 0.250
5 Se 0.125 0.875 0.750
6 Pu 0.377 0.127 0.253
7 Pu 0.127 0.377 0.753
8 As 0.375 0.625 0.250



2.
Material: LiCu2As
Method: DFT, GGA-PBE
State: relaxed

Symmetry: F-43m, No. 216
E_tot, eV for the cell shown: -14.59

abc: 4.189 4.189 4.189
angles: 60.00 60.00 60.00
Element x y z (fractional)
1 Cu 0.500 0.500 0.500
2 As 0.000 0.000 0.000
3 Cu 0.750 0.750 0.750
4 Li 0.250 0.250 0.250



3.
Material: YLuPt2
Method: DFT, GGA-PBE
State: relaxed

Energy relative to the lowest polymorph listed for this composition, meV per atom: 1218
Symmetry: F-43m, No. 216
M_tot, μB per cell: 0.02
ΔE_f, meV/atom: -84

abc: 5.427 5.427 5.427
angles: 60.00 60.00 60.00
Element x y z (fractional)
1 Y 0.750 0.750 0.750
2 Lu 0.500 0.500 0.500
3 Pt 0.250 0.250 0.250
4 Pt 0.000 0.000 0.000



4.
Material: K2RbNa2ReO6
Method: DFT, GGA-PBE
State: relaxed

Symmetry: C2/m, No. 12
M_tot, μB per cell: 0.00
E_tot, eV for the cell shown: -67.47

abc: 6.281 6.281 5.778
angles: 97.63 97.63 119.37
Element x y z (fractional)
1 O 0.196 0.196 0.798
2 O 0.955 0.704 0.801
3 O 0.804 0.804 0.202
4 Rb 0.500 0.500 0.500
5 Re 0.000 0.000 0.000
6 O 0.045 0.296 0.199
7 O 0.704 0.955 0.801
8 Na 0.135 0.865 0.500
9 K 0.331 0.669 0.000
10 K 0.669 0.331 0.000
11 Na 0.865 0.135 0.500
12 O 0.296 0.045 0.199